[1]
First-principles (PBE) data for a relaxed structure of NdSm2Cd4, as listed in Alexandria via LeMat-Bulk.

```
NdSm2Cd4
1.0
5.151 0.000 -1.642
-0.523 5.125 -1.642
-0.259 -0.287 8.088
Nd Sm Cd
1 2 4
direct
0.000 0.000 0.000
0.739 0.739 0.478
0.261 0.261 0.522
0.384 0.884 0.769
0.884 0.384 0.769
0.616 0.116 0.231
0.116 0.616 0.231
```

Calculated values
Its energy of formation is -1.1 eV per formula unit. The value obtained for the total energy is -19.0 eV/f.u.

[2]
First-principles (PBE) data for a relaxed structure of K3Sm2NpS6, as listed in Alexandria via LeMat-Bulk.

```
K3Sm2NpS6
1.0
-1.384 -2.840 -6.431
6.087 -1.643 3.404
-4.922 -4.223 4.254
K Sm Np S
3 2 1 6
direct
0.168 0.832 0.500
0.832 0.168 0.500
0.500 0.500 0.500
0.334 0.666 0.000
0.666 0.334 0.000
0.000 0.000 0.000
0.932 0.601 0.796
0.738 0.738 0.205
0.068 0.399 0.204
0.601 0.932 0.796
0.262 0.262 0.795
0.399 0.068 0.204
```

Calculated values
The value obtained for the total energy is -70.8 eV/f.u. For the raw formation energy, the calculation gives -1695 meV per atom.

[3]
First-principles (PBE) data for a relaxed structure of EuO3, as listed in Alexandria via LeMat-Bulk.

```
EuO3
1.0
3.569 -6.181 0.000
3.569 6.181 0.000
0.000 0.000 3.531
Eu O
2 6
direct
0.333 0.667 0.250
0.667 0.333 0.750
0.486 0.034 0.250
0.514 0.966 0.750
0.966 0.452 0.250
0.034 0.548 0.750
0.548 0.514 0.250
0.452 0.486 0.750
```

Calculated values
The distance to the lowest polymorph of the same formula is 14 meV per atom. The value obtained for the total energy is -29.9 eV/f.u. For the raw formation energy, the calculation gives -1179 meV per atom.

[4]
First-principles (PBE) data for a relaxed structure of Pr3Nd4Dy2, as listed in Alexandria via LeMat-Bulk.

```
Pr3Nd4Dy2
1.0
-0.346 -0.063 3.638
2.350 -2.260 -1.651
19.684 18.856 2.203
Pr Nd Dy
3 4 2
direct
0.000 0.000 0.984
0.000 0.000 0.320
0.667 0.333 0.655
0.000 0.000 0.543
0.667 0.333 0.434
0.667 0.333 0.212
0.000 0.000 0.769
0.667 0.333 0.088
0.667 0.333 0.873
```

Calculated values
The distance to the lowest polymorph of the same formula is 56 meV per atom. Its energy of formation is 0.6 eV per formula unit. The value obtained for the total energy is -42.0 eV/f.u.

[5]
First-principles (PBE) data for a relaxed structure of AlZn3Ag, as listed in Alexandria via LeMat-Bulk.

```
AlZn3Ag
1.0
-1.480 -0.765 -4.597
-2.910 -3.615 1.539
-3.640 3.201 0.639
Zn Al Ag
3 1 1
direct
0.000 0.500 0.000
0.000 0.000 0.500
0.500 0.000 0.000
0.500 0.500 0.500
0.000 0.000 0.000
```

Calculated values
The distance to the lowest polymorph of the same formula is 525 meV per atom. Its energy of formation is 2.6 eV per formula unit. The value obtained for the total energy is -7.8 eV/f.u.

[6]
First-principles (PBE) data for a relaxed structure of Dy2CuSi3Ir4, as listed in Alexandria via LeMat-Bulk.

```
Dy2CuSi3Ir4
1.0
-3.629 -1.217 -1.475
-0.009 -3.153 2.625
-4.675 5.682 6.809
Dy Cu Si Ir
2 1 3 4
direct
0.500 0.000 0.254
0.000 0.500 0.746
0.500 0.500 0.500
0.000 0.000 0.500
0.500 0.000 0.871
0.000 0.500 0.129
0.500 0.500 0.000
0.000 0.000 0.000
0.500 0.000 0.637
0.000 0.500 0.363
```

Calculated values
The value obtained for the total energy is -74.1 eV/f.u. For the raw formation energy, the calculation gives -912 meV per atom.

[7]
First-principles (PBE) data for a relaxed structure of RbTlGaF6, as listed in Alexandria via LeMat-Bulk.

```
RbTlGaF6
1.0
-1.163 4.782 -3.353
-4.905 0.156 -3.374
-2.911 2.340 4.344
Rb Tl Ga F
1 1 1 6
direct
0.000 0.000 0.000
0.667 0.667 0.500
0.333 0.333 0.500
0.059 0.348 0.306
0.348 0.059 0.694
0.592 0.349 0.694
0.059 0.593 0.693
0.348 0.592 0.306
0.593 0.059 0.307
```

Calculated values
The value obtained for the total energy is -39.1 eV/f.u. For the raw formation energy, the calculation gives -2389 meV per atom.

[8]
First-principles (PBE) data for a relaxed structure of ScZn2Re, as listed in Alexandria via LeMat-Bulk.

```
ScZn2Re
1.0
9.553 -0.004 -0.003
9.135 2.794 -0.003
9.135 1.363 2.438
Re Sc Zn
1 1 2
direct
0.250 0.250 0.250
0.750 0.750 0.750
0.995 0.995 0.995
0.505 0.505 0.505
```

Calculated values
The distance to the lowest polymorph of the same formula is 273 meV per atom. Its energy of formation is 0.7 eV per formula unit. The value obtained for the total energy is -20.6 eV/f.u.

[9]
First-principles (PBE) data for a relaxed structure of PrSm8, as listed in Alexandria via LeMat-Bulk.

```
PrSm8
1.0
5.145 0.000 0.000
2.573 7.716 0.000
2.573 0.000 7.716
Pr Sm
1 8
direct
0.000 0.000 0.000
0.333 0.000 0.334
0.667 0.000 0.666
0.667 0.666 0.000
0.000 0.666 0.334
0.334 0.666 0.666
0.666 0.334 0.334
0.000 0.334 0.666
0.333 0.334 0.000
```

Calculated values
Its energy of formation is 0.1 eV per formula unit. The value obtained for the total energy is -42.4 eV/f.u.

[10]
First-principles (PBE) data for a relaxed structure of Pm4InIr, as listed in Alexandria via LeMat-Bulk.

```
Pm4InIr
1.0
6.129 -0.674 0.000
-2.428 8.801 0.000
-1.850 -4.063 6.798
Pm In Ir
8 2 2
direct
0.091 0.206 0.848
0.769 0.716 0.653
0.257 0.642 0.848
0.384 0.938 0.653
0.616 0.062 0.347
0.743 0.358 0.152
0.231 0.284 0.347
0.909 0.794 0.152
0.373 0.623 0.245
0.627 0.377 0.755
0.251 0.001 0.002
0.749 0.999 0.998
```

Calculated values
The distance to the lowest polymorph of the same formula is 71 meV per atom. Its energy of formation is -2.7 eV per formula unit. The value obtained for the total energy is -33.3 eV/f.u.

[11]
First-principles (PBE) data for a relaxed structure of FeTe2Os, as listed in Alexandria via LeMat-Bulk.

```
FeTe2Os
1.0
-1.895 -1.565 -2.082
1.019 -1.597 2.606
-6.911 2.628 4.314
Fe Os Te
1 1 2
direct
0.500 0.500 0.250
0.500 0.500 0.750
0.000 0.000 0.002
0.000 0.000 0.498
```

Calculated values
The distance to the lowest polymorph of the same formula is 832 meV per atom. The value obtained for the total energy is -22.0 eV/f.u. For the raw formation energy, the calculation gives 991 meV per atom.

[12]
First-principles (PBE) data for a relaxed structure of SnHgO2, as listed in Alexandria via LeMat-Bulk.

```
SnHgO2
1.0
-0.604 -3.011 -1.062
3.066 1.017 0.345
-1.783 -2.614 8.421
Sn Hg O
1 1 2
direct
0.585 0.924 0.552
0.081 0.925 0.052
0.881 0.515 0.437
0.290 0.334 0.668
```

Calculated values
The distance to the lowest polymorph of the same formula is 5 meV per atom. The value obtained for the total energy is -18.6 eV/f.u. For the raw formation energy, the calculation gives -1099 meV per atom.